! Nb2Zn2CuO8 (meta-GGA SCAN, PBEsol geometry); values from VASP
! Formation energy from raw total energies (eV per atom): -2.08
! VASP energy (eV/atom): -14.2588
! Total magnetization (μB/f.u.): 1.00
&SYSTEM
  ibrav = 0, nat = 26, ntyp = 4
/
ATOMIC_SPECIES
Nb 92.91 Nb.upf
Zn 65.41 Zn.upf
Cu 63.55 Cu.upf
O 16.00 O.upf
CELL_PARAMETERS angstrom
5.158 0.000 0.026
0.000 5.930 0.000
-0.265 -2.965 9.473
ATOMIC_POSITIONS crystal
Nb 0.739 0.950 0.228
Nb 0.761 0.723 0.772
Nb 0.261 0.050 0.772
Nb 0.239 0.277 0.228
Zn 0.755 0.123 0.555
Zn 0.745 0.568 0.445
Zn 0.245 0.877 0.445
Zn 0.255 0.432 0.555
Cu 0.750 0.355 0.000
Cu 0.250 0.645 0.000
O 0.075 0.952 0.139
O 0.425 0.813 0.861
O 0.925 0.048 0.861
O 0.575 0.187 0.139
O 0.563 0.686 0.112
O 0.937 0.574 0.888
O 0.437 0.314 0.888
O 0.063 0.426 0.112
O 0.444 0.082 0.363
O 0.056 0.718 0.637
O 0.372 0.551 0.384
O 0.128 0.167 0.616
O 0.628 0.449 0.616
O 0.872 0.833 0.384
O 0.944 0.282 0.363
O 0.556 0.918 0.637

---

! Nb3CuP (meta-GGA SCAN, PBEsol geometry); values from VASP
! ΔE_f (meV/atom): 482
! VASP energy (eV/atom): -24.5154
! Total magnetization (μB/f.u.): 0.00
&SYSTEM
  ibrav = 0, nat = 5, ntyp = 3
/
ATOMIC_SPECIES
P 30.97 P.upf
Nb 92.91 Nb.upf
Cu 63.55 Cu.upf
CELL_PARAMETERS angstrom
-1.386 3.562 -2.471
-4.319 -1.354 0.470
-0.367 2.489 3.793
ATOMIC_POSITIONS crystal
P 0.000 0.000 0.000
Nb 0.000 0.500 0.000
Nb 0.000 0.000 0.500
Nb 0.500 0.000 0.000
Cu 0.500 0.500 0.500

---

! NbCu3P (meta-GGA SCAN, PBEsol geometry); values from VASP
! ΔE_f (meV/atom): 559
! VASP energy (eV/atom): -17.2662
! Total magnetization (μB/f.u.): 0.00
&SYSTEM
  ibrav = 0, nat = 5, ntyp = 3
/
ATOMIC_SPECIES
P 30.97 P.upf
Nb 92.91 Nb.upf
Cu 63.55 Cu.upf
CELL_PARAMETERS angstrom
-1.014 1.008 -3.939
-1.439 -3.886 -0.624
-3.803 1.202 1.287
ATOMIC_POSITIONS crystal
P 0.000 0.000 0.000
Nb 0.500 0.500 0.500
Cu 0.000 0.500 0.000
Cu 0.000 0.000 0.500
Cu 0.500 0.000 0.000

---

! Ti2NbCuP (meta-GGA SCAN, PBEsol geometry); values from VASP
! ΔE_f (meV/atom): 1319
! VASP energy (eV/atom): -16.8388
! Total magnetization (μB/f.u.): 0.00
&SYSTEM
  ibrav = 0, nat = 5, ntyp = 4
/
ATOMIC_SPECIES
P 30.97 P.upf
Nb 92.91 Nb.upf
Cu 63.55 Cu.upf
Ti 47.87 Ti.upf
CELL_PARAMETERS angstrom
4.627 0.000 0.000
0.000 4.629 0.000
0.000 0.000 4.629
ATOMIC_POSITIONS crystal
P 0.500 0.500 0.500
Nb 0.000 0.000 0.000
Cu 0.500 0.000 0.000
Ti 0.000 0.000 0.500
Ti 0.000 0.500 0.000

---

! NbCuSi2Pb (meta-GGA SCAN, PBEsol geometry); values from VASP
! Formation energy from raw total energies (eV per atom): 0.81
! VASP energy (eV/atom): -28.0200
! Total magnetization (μB/f.u.): 0.00
&SYSTEM
  ibrav = 0, nat = 5, ntyp = 4
/
ATOMIC_SPECIES
Pb 207.20 Pb.upf
Nb 92.91 Nb.upf
Si 28.09 Si.upf
Cu 63.55 Cu.upf
CELL_PARAMETERS angstrom
4.822 0.000 0.000
0.000 4.822 0.000
0.000 0.000 4.867
ATOMIC_POSITIONS crystal
Pb 0.500 0.500 0.500
Nb 0.000 0.000 0.000
Si 0.000 0.500 0.000
Si 0.500 0.000 0.000
Cu 0.000 0.000 0.500

---

! Nb2CuTcPt (meta-GGA SCAN, PBEsol geometry); values from VASP
! ΔE_f (meV/atom): 1474
! VASP energy (eV/atom): -35.8681
! Total magnetization (μB/f.u.): 0.00
&SYSTEM
  ibrav = 0, nat = 5, ntyp = 4
/
ATOMIC_SPECIES
Nb 92.91 Nb.upf
Cu 63.55 Cu.upf
Tc 98.00 Tc.upf
Pt 195.08 Pt.upf
CELL_PARAMETERS angstrom
-3.138 1.865 -2.903
-3.536 -1.288 2.995
0.396 4.216 2.280
ATOMIC_POSITIONS crystal
Nb 0.000 0.000 0.500
Nb 0.000 0.500 0.000
Cu 0.500 0.500 0.500
Tc 0.500 0.000 0.000
Pt 0.000 0.000 0.000

---

! RbNbCu2 (meta-GGA SCAN, PBEsol geometry); values from VASP
! ΔE_f (meV/atom): 1338
! VASP energy (eV/atom): -19.7294
! Total magnetization (μB/f.u.): 3.20
&SYSTEM
  ibrav = 0, nat = 4, ntyp = 3
/
ATOMIC_SPECIES
Nb 92.91 Nb.upf
Cu 63.55 Cu.upf
Rb 85.47 Rb.upf
CELL_PARAMETERS angstrom
4.798 0.000 0.000
2.399 4.155 0.000
2.399 1.385 3.918
ATOMIC_POSITIONS crystal
Nb 0.500 0.500 0.500
Cu 0.250 0.250 0.250
Cu 0.750 0.750 0.750
Rb 0.000 0.000 0.000

---

! RbNbCu2Si (meta-GGA SCAN, PBEsol geometry); values from VASP
! Formation energy from raw total energies (eV per atom): 1.40
! VASP energy (eV/atom): -17.4569
! Total magnetization (μB/f.u.): 4.37
&SYSTEM
  ibrav = 0, nat = 5, ntyp = 4
/
ATOMIC_SPECIES
Nb 92.91 Nb.upf
Si 28.09 Si.upf
Cu 63.55 Cu.upf
Rb 85.47 Rb.upf
CELL_PARAMETERS angstrom
-3.196 -0.589 -3.088
-2.665 -1.826 3.107
-2.108 5.128 1.205
ATOMIC_POSITIONS crystal
Nb 0.500 0.500 0.500
Si 0.000 0.000 0.000
Cu 0.000 0.500 0.000
Cu 0.500 0.000 0.000
Rb 0.000 0.000 0.500